Here is crystalline Ca3ScFe at its relaxed geometry from the Alexandria database. Energies are from PBE.

The structure in POSCAR format:
```
Ca3ScFe
1.0
5.3672 0.0000 0.0000
0.0000 5.3672 0.0000
0.0000 0.0000 5.3672
Sc Ca Fe
1 3 1
Direct
0.5000 0.5000 0.5000
0.0000 0.5000 0.0000
0.0000 0.0000 0.5000
0.5000 0.0000 0.0000
0.0000 0.0000 0.0000
```

Total magnetic moment, μB/cell: 0.00
ΔE to the lowest computed polymorph, meV per atom: 0

---

Here is crystalline Ca2ScFe at its relaxed geometry from the Alexandria database. Energies are from PBE.

The structure in POSCAR format:
```
Ca2ScFe
1.0
4.6720 0.2352 -0.0287
3.2186 3.3946 -0.0287
2.1829 1.0042 7.8900
Sc Ca Fe
1 2 1
Direct
0.1960 0.1960 0.3755
0.9976 0.9976 0.0724
0.8352 0.8352 0.6780
0.4713 0.4713 0.3741
```

Total magnetic moment, μB/cell: 1.30
ΔE to the lowest computed polymorph, meV per atom: 138

---

Here is crystalline CaScTaFe2 at its relaxed geometry from the Alexandria database. Energies are from PBE.

The structure in POSCAR format:
```
CaScTaFe2
1.0
-0.1678 -3.9282 -2.0158
1.4821 -2.1325 4.0323
-4.1988 -0.4819 1.2885
Sc Ca Fe Ta
1 1 2 1
Direct
0.5000 0.5000 0.5000
0.0000 0.0000 0.0000
0.0000 0.0000 0.5000
0.5000 0.0000 0.0000
0.0000 0.5000 0.0000
```

Total magnetic moment, μB/cell: 0.00

---

Here is crystalline Ca2ScVFe at its relaxed geometry from the Alexandria database. Energies are from PBE.

The structure in POSCAR format:
```
Ca2ScVFe
1.0
5.6307 0.0000 0.0000
0.0000 4.1761 0.0000
0.0000 0.0000 5.6307
Sc Ca Fe V
1 2 1 1
Direct
0.5000 0.5000 0.5000
0.0000 0.0000 0.5000
0.5000 0.0000 0.0000
0.0000 0.5000 0.0000
0.0000 0.0000 0.0000
```

Total magnetic moment, μB/cell: 0.28

---

Here is crystalline CaY2ScFe at its relaxed geometry from the Alexandria database. Energies are from PBE.

The structure in POSCAR format:
```
CaY2ScFe
1.0
5.3324 0.0000 0.0000
0.0000 5.3324 0.0000
0.0000 0.0000 4.9883
Y Sc Ca Fe
2 1 1 1
Direct
0.0000 0.5000 0.0000
0.5000 0.0000 0.0000
0.0000 0.0000 0.5000
0.5000 0.5000 0.5000
0.0000 0.0000 0.0000
```

Total magnetic moment, μB/cell: 0.00

---

Here is crystalline CaZrSc2Fe at its relaxed geometry from the Alexandria database. Energies are from PBE.

The structure in POSCAR format:
```
CaZrSc2Fe
1.0
5.0420 0.0000 0.0000
0.0000 5.0420 0.0000
0.0000 0.0000 4.8470
Sc Ca Fe Zr
2 1 1 1
Direct
0.0000 0.5000 0.0000
0.5000 0.0000 0.0000
0.5000 0.5000 0.5000
0.0000 0.0000 0.0000
0.0000 0.0000 0.5000
```

Total magnetic moment, μB/cell: 0.00
ΔE to the lowest computed polymorph, meV per atom: 0

---

no.,energy (eV/atom),DFT formation energy (eV/atom)
1,-3.54,0.620
2,-4.39,0.312
3,-5.42,1.999
4,-4.78,0.805
5,-5.90,0.048
6,-6.26,0.075